Version w
Below is an optimized crystal structure of Bi2Au2O5, with properties calculated at the PBE level.

```
Bi2Au2O5
1.0
9.321 0.000 0.000
0.000 3.938 0.000
0.000 0.000 3.938
Au Bi O
2 2 5
Direct
0.000 0.000 0.000 Au
0.500 0.000 0.000 Au
0.257 0.500 0.500 Bi
0.743 0.500 0.500 Bi
0.150 0.500 0.000 O
0.850 0.500 0.000 O
0.150 0.000 0.500 O
0.850 0.000 0.500 O
0.500 0.500 0.500 O
```

***

Version x
Below is an optimized crystal structure of Bi2Au2O5, with properties calculated at the PBE level.

```
Bi2Au2O5
1.0
-1.938 -3.576 -5.731
1.068 -3.643 1.912
-3.944 -0.343 1.548
Au Bi O
2 2 5
Direct
0.194 0.500 0.500 Au
0.806 0.500 0.500 Au
0.000 0.000 0.000 Bi
0.500 0.000 0.000 Bi
0.223 0.500 0.000 O
0.777 0.500 0.000 O
0.223 0.000 0.500 O
0.777 0.000 0.500 O
0.500 0.500 0.500 O
```

***

Stability, lowest: version x

***

Version w
Below is an optimized crystal structure of BiPAuO, with properties calculated at the PBE level.

```
BiPAuO
1.0
4.157 0.000 0.000
0.000 6.585 0.000
0.000 0.000 6.433
Au Bi O P
2 2 2 2
Direct
0.500 0.777 0.016 Au
0.500 0.223 0.516 Au
0.000 0.722 0.460 Bi
0.000 0.278 0.960 Bi
0.500 0.819 0.398 O
0.500 0.181 0.898 O
0.000 0.317 0.379 P
0.000 0.683 0.879 P
```

***

Version x
Below is an optimized crystal structure of BiPAuO, with properties calculated at the PBE level.

```
BiPAuO
1.0
-0.659 -0.503 3.915
3.947 -0.078 0.655
-0.013 9.002 1.155
Au Bi O P
2 2 2 2
Direct
0.000 0.000 0.500 Au
0.500 0.500 0.500 Au
0.000 0.500 0.138 Bi
0.500 0.000 0.862 Bi
0.000 0.000 0.000 O
0.500 0.500 0.000 O
0.500 0.000 0.319 P
0.000 0.500 0.681 P
```

***

Stability, lowest: version w

***

Version w
Below is an optimized crystal structure of BiAuSO, with properties calculated at the PBE level.

```
BiAuSO
1.0
5.724 0.000 0.000
0.000 5.735 0.000
-0.344 0.000 9.123
Au Bi O S
4 4 4 4
Direct
0.748 0.249 0.000 Au
0.248 0.251 0.000 Au
0.752 0.749 0.000 Au
0.252 0.751 0.000 Au
0.230 0.999 0.365 Bi
0.730 0.501 0.365 Bi
0.770 0.001 0.635 Bi
0.270 0.499 0.635 Bi
0.000 0.246 0.500 O
0.500 0.254 0.500 O
0.500 0.746 0.500 O
0.000 0.754 0.500 O
0.756 0.998 0.210 S
0.256 0.502 0.210 S
0.244 0.002 0.790 S
0.744 0.498 0.790 S
```

***

Version x
Below is an optimized crystal structure of BiAuSO, with properties calculated at the PBE level.

```
BiAuSO
1.0
7.105 0.000 0.000
0.000 8.610 0.000
0.000 0.000 5.985
Au Bi O S
4 4 4 4
Direct
0.319 0.154 0.052 Au
0.819 0.846 0.052 Au
0.181 0.154 0.552 Au
0.681 0.846 0.552 Au
0.958 0.296 0.058 Bi
0.458 0.704 0.058 Bi
0.542 0.296 0.558 Bi
0.042 0.704 0.558 Bi
0.036 0.064 0.032 O
0.536 0.936 0.032 O
0.464 0.064 0.532 O
0.964 0.936 0.532 O
0.565 0.331 0.109 S
0.065 0.669 0.109 S
0.935 0.331 0.609 S
0.435 0.669 0.609 S
```

***

Version y
Below is an optimized crystal structure of BiAuSO, with properties calculated at the PBE level.

```
BiAuSO
1.0
5.744 0.000 -0.341
0.000 5.727 0.000
-1.075 0.000 10.801
Au Bi O S
4 4 4 4
Direct
0.938 0.413 0.310 Au
0.653 0.657 0.485 Au
0.347 0.157 0.515 Au
0.062 0.913 0.690 Au
0.033 0.753 0.110 Bi
0.516 0.263 0.120 Bi
0.484 0.763 0.880 Bi
0.967 0.253 0.890 Bi
0.247 0.000 0.001 O
0.243 0.490 0.005 O
0.757 0.990 0.995 O
0.753 0.500 0.999 O
0.615 0.689 0.269 S
0.223 0.135 0.302 S
0.777 0.635 0.698 S
0.385 0.189 0.731 S
```

***

Version z
Below is an optimized crystal structure of BiAuSO, with properties calculated at the PBE level.

```
BiAuSO
1.0
-0.217 -3.790 1.132
1.072 -1.148 -3.637
8.811 0.247 2.520
Au Bi O S
2 2 2 2
Direct
0.750 0.250 0.500 Au
0.250 0.750 0.500 Au
0.250 0.250 0.138 Bi
0.750 0.750 0.862 Bi
0.750 0.250 0.000 O
0.250 0.750 0.000 O
0.750 0.750 0.294 S
0.250 0.250 0.706 S
```

***

Stability, lowest: version x

***

Version w
Below is an optimized crystal structure of BiTeAuO, with properties calculated at the PBE level.

```
BiTeAuO
1.0
4.014 0.000 0.000
0.000 6.930 0.000
0.000 0.000 7.310
Au Bi O Te
2 2 2 2
Direct
0.000 0.247 0.042 Au
0.000 0.753 0.542 Au
0.500 0.901 0.024 Bi
0.500 0.099 0.524 Bi
0.500 0.158 0.223 O
0.500 0.842 0.723 O
0.000 0.626 0.203 Te
0.000 0.374 0.703 Te
```

***

Version x
Below is an optimized crystal structure of BiTeAuO, with properties calculated at the PBE level.

```
BiTeAuO
1.0
-1.680 1.203 -3.564
0.388 -3.827 -1.474
-8.971 -2.246 3.470
Au Bi O Te
2 2 2 2
Direct
0.750 0.250 0.500 Au
0.250 0.750 0.500 Au
0.250 0.250 0.122 Bi
0.750 0.750 0.878 Bi
0.750 0.250 0.000 O
0.250 0.750 0.000 O
0.750 0.750 0.293 Te
0.250 0.250 0.707 Te
```

***

Stability, lowest: version w

***

Version w
Below is an optimized crystal structure of SrBiPdAu, with properties calculated at the PBE level.

```
SrBiPdAu
1.0
-3.719 0.023 3.530
-4.756 -1.427 -1.277
-1.904 -4.429 1.747
Au Bi Pd Sr
1 1 1 1
Direct
0.750 0.750 0.750 Au
0.250 0.250 0.250 Bi
0.500 0.500 0.500 Pd
0.000 0.000 0.000 Sr
```

***

Version x
Below is an optimized crystal structure of SrBiPdAu, with properties calculated at the PBE level.

```
SrBiPdAu
1.0
0.000 3.638 3.638
3.638 0.000 3.638
3.638 3.638 0.000
Au Bi Pd Sr
1 1 1 1
Direct
0.750 0.750 0.750 Au
0.500 0.500 0.500 Bi
0.250 0.250 0.250 Pd
0.000 0.000 0.000 Sr
```

***

Stability, lowest: version w

***

Version w
Below is an optimized crystal structure of Sc2Bi2Au, with properties calculated at the PBE level.

```
Sc2Bi2Au
1.0
-2.647 2.647 5.034
2.647 -2.647 5.034
2.647 2.647 -5.034
Au Bi Sc
1 2 2
Direct
0.000 0.000 0.000 Au
0.352 0.352 0.000 Bi
0.648 0.648 0.000 Bi
0.750 0.250 0.500 Sc
0.250 0.750 0.500 Sc
```

***

Version x
Below is an optimized crystal structure of Sc2Bi2Au, with properties calculated at the PBE level.

```
Sc2Bi2Au
1.0
3.108 -3.108 0.000
3.108 3.108 0.000
-3.108 0.000 6.688
Au Bi Sc
1 2 2
Direct
0.000 0.000 0.000 Au
0.750 0.250 0.500 Bi
0.250 0.750 0.500 Bi
0.598 0.598 0.197 Sc
0.402 0.402 0.803 Sc
```

***

Stability, lowest: version x

***

Version w
Below is an optimized crystal structure of Ta2Bi2Au, with properties calculated at the PBE level.

```
Ta2Bi2Au
1.0
0.869 -3.719 6.683
-4.647 -2.191 5.731
1.421 0.428 -7.552
Au Bi Ta
1 2 2
Direct
0.000 0.000 0.000 Au
0.396 0.396 0.000 Bi
0.604 0.604 0.000 Bi
0.750 0.250 0.500 Ta
0.250 0.750 0.500 Ta
```

***

Version x
Below is an optimized crystal structure of Ta2Bi2Au, with properties calculated at the PBE level.

```
Ta2Bi2Au
1.0
-2.163 2.163 6.430
2.163 -2.163 6.430
2.163 2.163 -6.430
Au Bi Ta
1 2 2
Direct
0.000 0.000 0.000 Au
0.750 0.250 0.500 Bi
0.250 0.750 0.500 Bi
0.405 0.405 0.000 Ta
0.595 0.595 0.000 Ta
```

***

Stability, lowest: version x

***

Version w
Below is an optimized crystal structure of Au2IBr, with properties calculated at the PBE level.

```
Au2IBr
1.0
4.325 0.000 0.000
0.000 4.325 0.000
0.000 0.000 12.651
Au Br I
4 2 2
Direct
0.247 0.253 0.261 Au
0.753 0.747 0.261 Au
0.747 0.247 0.739 Au
0.253 0.753 0.739 Au
0.000 0.500 0.418 Br
0.500 0.000 0.582 Br
0.500 0.000 0.095 I
0.000 0.500 0.905 I
```

***

Version x
Below is an optimized crystal structure of Au2IBr, with properties calculated at the PBE level.

```
Au2IBr
1.0
-0.261 4.379 -1.104
-3.780 -2.405 0.622
0.028 1.796 7.115
Au Br I
2 1 1
Direct
0.000 0.000 0.128 Au
0.333 0.667 0.627 Au
0.000 0.000 0.503 Br
0.333 0.667 0.002 I
```

***

Stability, lowest: version x

***

Version w
Below is an optimized crystal structure of Rb2MgAuBr6, with properties calculated at the PBE level.

```
Rb2MgAuBr6
1.0
-6.072 1.350 -4.318
-5.929 -4.692 0.406
-6.389 2.408 3.273
Au Br Mg Rb
1 6 1 2
Direct
0.500 0.500 0.500 Au
0.753 0.296 0.198 Br
0.706 0.801 0.246 Br
0.198 0.753 0.296 Br
0.801 0.246 0.706 Br
0.296 0.198 0.753 Br
0.246 0.706 0.801 Br
0.001 0.001 0.001 Mg
0.250 0.250 0.250 Rb
0.747 0.747 0.747 Rb
```

***

Version x
Below is an optimized crystal structure of Rb2MgAuBr6, with properties calculated at the PBE level.

```
Rb2MgAuBr6
1.0
1.570 -4.763 6.090
-5.980 2.235 4.635
-0.802 -2.418 -7.466
Au Br Mg Rb
1 6 1 2
Direct
0.500 0.500 0.000 Au
0.216 0.216 0.000 Br
0.784 0.784 0.000 Br
0.320 0.805 0.125 Br
0.805 0.680 0.485 Br
0.195 0.320 0.515 Br
0.680 0.195 0.875 Br
0.000 0.000 0.000 Mg
0.750 0.250 0.500 Rb
0.250 0.750 0.500 Rb
```

***

Stability, lowest: version w

***

Version w
Below is an optimized crystal structure of AuC, with properties calculated at the PBE level.

```
AuC
1.0
1.600 0.924 2.816
-1.600 0.924 2.816
0.000 -1.848 2.816
Au C
1 1
Direct
0.000 0.000 0.000 Au
0.500 0.500 0.500 C
```

***

Version x
Below is an optimized crystal structure of AuC, with properties calculated at the PBE level.

```
AuC
1.0
0.000 2.459 2.459
2.459 0.000 2.459
2.459 2.459 0.000
Au C
1 1
Direct
0.000 0.000 0.000 Au
0.250 0.250 0.250 C
```

***

Version y
Below is an optimized crystal structure of AuC, with properties calculated at the PBE level.

```
AuC
1.0
-1.400 -2.810 -1.018
-2.634 -1.201 1.586
-2.967 0.063 -1.445
Au C
1 1
Direct
0.000 0.000 0.000 Au
0.500 0.500 0.500 C
```

***

Stability, lowest: version w

***

Version w
Below is an optimized crystal structure of Sc3AuC, with properties calculated at the PBE level.

```
Sc3AuC
1.0
-6.204 -1.070 1.209
1.277 -8.681 -1.134
1.315 -0.617 6.205
Au C Sc
4 4 12
Direct
0.505 0.750 0.009 Au
0.005 0.750 0.491 Au
0.995 0.250 0.509 Au
0.495 0.250 0.991 Au
0.000 0.000 0.000 C
0.000 0.500 0.000 C
0.500 0.000 0.500 C
0.500 0.500 0.500 C
0.001 0.250 0.075 Sc
0.254 0.539 0.246 Sc
0.254 0.961 0.246 Sc
0.754 0.539 0.254 Sc
0.754 0.961 0.254 Sc
0.501 0.250 0.425 Sc
0.499 0.750 0.575 Sc
0.246 0.039 0.746 Sc
0.246 0.461 0.746 Sc
0.746 0.039 0.754 Sc
0.746 0.461 0.754 Sc
0.999 0.750 0.925 Sc
```

***

Version x
Below is an optimized crystal structure of Sc3AuC, with properties calculated at the PBE level.

```
Sc3AuC
1.0
4.490 0.000 0.000
0.000 4.490 0.000
0.000 0.000 4.490
Au C Sc
1 1 3
Direct
0.000 0.000 0.000 Au
0.500 0.500 0.500 C
0.500 0.500 0.000 Sc
0.500 0.000 0.500 Sc
0.000 0.500 0.500 Sc
```

***

Stability, lowest: version x